VASP calculation (PBE-GGA) on a relaxed Cr2RhI crystal.

Computed properties:
magnetization: 1.827 μB per atom
N(E_F): 6.4 states/eV/f.u.
E above lowest polymorph: 54 meV per atom

The structure in CIF format:
```
data_Cr2RhI
_cell_length_a 6.862
_cell_length_b 6.862
_cell_length_c 7.616
_cell_angle_alpha 90.00
_cell_angle_beta 90.00
_cell_angle_gamma 90.00
_space_group_name_H-M_alt 'I -4 2 d'
_space_group_IT_number 122
_space_group_name_Hall 'I -4 2bw'
loop_
_atom_site_label
_atom_site_type_symbol
_atom_site_fract_x
_atom_site_fract_y
_atom_site_fract_z
Cr1 Cr 0.209 0.750 0.125
Rh1 Rh 0.000 0.000 0.000
I1 I 0.000 0.000 0.500
```